(one)
Below is a relaxed Pm3GaCo crystal, with properties calculated at the GGA-PBE level.

The crystal system is triclinic.

a = 3.7603 Å, b = 8.3699 Å, c = 8.4917 Å
α = 88.96°, β = 89.99°, γ = 77.03°
Element x y z (fractional)
Pm  0.0483  0.4039  0.1903
Pm  0.2509  0.9986  0.7994
Pm  0.3977  0.7069  0.4525
Pm  0.6023  0.2931  0.5475
Pm  0.7491  0.0014  0.2006
Pm  0.9517  0.5961  0.8097
Ga  0.3902  0.7202  0.0792
Ga  0.6098  0.2798  0.9208
Co  0.2163  0.0684  0.4478
Co  0.7837  0.9316  0.5522

---

(two)
Below is a relaxed Pm3GaCo crystal, with properties calculated at the GGA-PBE level.

The crystal system is cubic.

a = 5.1937 Å, b = 5.1937 Å, c = 5.1937 Å
α = 90.00°, β = 90.00°, γ = 90.00°
Element x y z (fractional)
Pm  0.0000  0.0000  0.5000
Pm  0.0000  0.5000  0.0000
Pm  0.5000  0.0000  0.0000
Ga  0.5000  0.5000  0.5000
Co  0.0000  0.0000  0.0000

---

(three)
Below is a relaxed Pm3GaCo crystal, with properties calculated at the GGA-PBE level.

The crystal system is monoclinic.

a = 6.0634 Å, b = 6.0634 Å, c = 8.5821 Å
α = 111.18°, β = 111.18°, γ = 64.08°
Element x y z (fractional)
Pm  0.0161  0.0161  0.2248
Pm  0.2963  0.2963  0.6671
Pm  0.3138  0.3138  0.1370
Pm  0.6862  0.6862  0.8630
Pm  0.7037  0.7037  0.3329
Pm  0.9839  0.9839  0.7752
Ga  0.2967  0.7033  0.5000
Ga  0.7033  0.2967  0.5000
Co  0.3188  0.6812  0.0000
Co  0.6812  0.3188  0.0000

---

Short version: (three), (one), (two), most stable first.

---

(one)
Below is a relaxed Pm8Ga2Co crystal, with properties calculated at the GGA-PBE level.

The crystal system is orthorhombic.

a = 9.1693 Å, b = 9.1693 Å, c = 9.1693 Å
α = 145.30°, β = 135.84°, γ = 57.34°
Element x y z (fractional)
Pm  0.1394  0.3759  0.7635
Pm  0.1999  0.1999  0.0000
Pm  0.2472  0.0000  0.2472
Pm  0.3875  0.6241  0.7635
Pm  0.6125  0.3759  0.2365
Pm  0.7528  0.0000  0.7528
Pm  0.8001  0.8001  0.0000
Pm  0.8606  0.6241  0.2365
Ga  0.3163  0.8163  0.5000
Ga  0.6837  0.1837  0.5000
Co  0.0000  0.5000  0.5000

---

(two)
Below is a relaxed Pm8Ga2Co crystal, with properties calculated at the GGA-PBE level.

The crystal system is monoclinic.

a = 9.4871 Å, b = 9.4871 Å, c = 6.8189 Å
α = 100.35°, β = 100.35°, γ = 30.79°
Element x y z (fractional)
Pm  0.0201  0.0201  0.2795
Pm  0.2083  0.2083  0.8068
Pm  0.3509  0.3509  0.5267
Pm  0.4088  0.4088  0.0446
Pm  0.5912  0.5912  0.9554
Pm  0.6491  0.6491  0.4733
Pm  0.7917  0.7917  0.1932
Pm  0.9799  0.9799  0.7205
Ga  0.1892  0.1892  0.2488
Ga  0.8108  0.8108  0.7512
Co  0.5000  0.5000  0.5000

---

Short version: (two), (one), most stable first.

---

(one)
Below is a relaxed Pm4Ga2Co crystal, with properties calculated at the GGA-PBE level.

The crystal system is tetragonal.

a = 8.4228 Å, b = 8.4228 Å, c = 8.4228 Å
α = 144.78°, β = 144.78°, γ = 50.67°
Element x y z (fractional)
Pm  0.0000  0.5000  0.5000
Pm  0.1831  0.1831  0.0000
Pm  0.5000  0.0000  0.5000
Pm  0.8169  0.8169  0.0000
Ga  0.3750  0.3750  0.0000
Ga  0.6250  0.6250  0.0000
Co  0.0000  0.0000  0.0000

---

(two)
Below is a relaxed Pm4Ga2Co crystal, with properties calculated at the GGA-PBE level.

The crystal system is monoclinic.

a = 8.5627 Å, b = 8.5627 Å, c = 6.2275 Å
α = 111.06°, β = 111.06°, γ = 25.92°
Element x y z (fractional)
Pm  0.0860  0.0860  0.4326
Pm  0.3702  0.3702  0.0109
Pm  0.6298  0.6298  0.9891
Pm  0.9140  0.9140  0.5674
Ga  0.2618  0.2618  0.3592
Ga  0.7382  0.7382  0.6408
Co  0.0000  0.0000  0.0000

---

(three)
Below is a relaxed Pm4Ga2Co crystal, with properties calculated at the GGA-PBE level.

The crystal system is monoclinic.

a = 6.8482 Å, b = 6.8091 Å, c = 8.2065 Å
α = 90.00°, β = 111.07°, γ = 90.00°
Element x y z (fractional)
Pm  0.1470  0.0127  0.2928
Pm  0.1470  0.4873  0.2928
Pm  0.3115  0.2500  0.9238
Pm  0.3214  0.7500  0.6691
Pm  0.6786  0.2500  0.3309
Pm  0.6885  0.7500  0.0762
Pm  0.8530  0.5127  0.7072
Pm  0.8530  0.9873  0.7072
Ga  0.2144  0.7500  0.0058
Ga  0.4588  0.2500  0.6147
Ga  0.5412  0.7500  0.3853
Ga  0.7856  0.2500  0.9942
Co  0.0871  0.2500  0.5874
Co  0.9129  0.7500  0.4126

---

Short version: (three), (two), (one), most stable first.

---

(one)
Below is a relaxed Pm3Ga3Co2 crystal, with properties calculated at the GGA-PBE level.

The crystal system is orthorhombic.

a = 7.5835 Å, b = 14.9416 Å, c = 5.8529 Å
α = 90.00°, β = 90.00°, γ = 90.00°
Element x y z (fractional)
Pm  0.0331  0.1058  0.1231
Pm  0.0331  0.3942  0.1231
Pm  0.1630  0.2500  0.6363
Pm  0.3370  0.7500  0.1363
Pm  0.4669  0.6058  0.6231
Pm  0.4669  0.8942  0.6231
Pm  0.5331  0.1058  0.3769
Pm  0.5331  0.3942  0.3769
Pm  0.6630  0.2500  0.8637
Pm  0.8370  0.7500  0.3637
Pm  0.9669  0.6058  0.8769
Pm  0.9669  0.8942  0.8769
Ga  0.1666  0.0408  0.6085
Ga  0.1666  0.4592  0.6085
Ga  0.1796  0.7500  0.6146
Ga  0.3204  0.2500  0.1146
Ga  0.3334  0.5407  0.1085
Ga  0.3334  0.9592  0.1085
Ga  0.6666  0.0408  0.8915
Ga  0.6666  0.4592  0.8915
Ga  0.6796  0.7500  0.8854
Ga  0.8204  0.2500  0.3854
Ga  0.8334  0.5407  0.3915
Ga  0.8334  0.9592  0.3915
Co  0.1331  0.6033  0.3897
Co  0.1331  0.8967  0.3897
Co  0.3669  0.1033  0.8897
Co  0.3669  0.3967  0.8897
Co  0.6331  0.6033  0.1103
Co  0.6331  0.8967  0.1103
Co  0.8669  0.1033  0.6103
Co  0.8669  0.3967  0.6103

---

(two)
Below is a relaxed Pm3Ga3Co2 crystal, with properties calculated at the GGA-PBE level.

The crystal system is orthorhombic.

a = 5.8786 Å, b = 5.8786 Å, c = 15.3890 Å
α = 90.00°, β = 90.00°, γ = 141.24°
Element x y z (fractional)
Pm  0.0642  0.9358  0.6046
Pm  0.0642  0.9358  0.8954
Pm  0.3385  0.6615  0.7500
Pm  0.6615  0.3385  0.2500
Pm  0.9358  0.0642  0.1046
Pm  0.9358  0.0642  0.3954
Ga  0.3386  0.6614  0.5370
Ga  0.3386  0.6614  0.9630
Ga  0.3701  0.6299  0.2500
Ga  0.6299  0.3701  0.7500
Ga  0.6614  0.3386  0.0370
Ga  0.6614  0.3386  0.4630
Co  0.2346  0.7654  0.1144
Co  0.2346  0.7654  0.3856
Co  0.7654  0.2346  0.6144
Co  0.7654  0.2346  0.8856

---

Short version: (two), (one), most stable first.

---

(one)
Below is a relaxed PmGa2Co3 crystal, with properties calculated at the GGA-PBE level.

The crystal system is orthorhombic.

a = 6.1351 Å, b = 6.1351 Å, c = 5.1416 Å
α = 90.00°, β = 90.00°, γ = 81.16°
Element x y z (fractional)
Pm  0.1952  0.8048  0.7500
Pm  0.8048  0.1952  0.2500
Ga  0.2738  0.2738  0.0000
Ga  0.2738  0.2738  0.5000
Ga  0.7262  0.7262  0.0000
Ga  0.7262  0.7262  0.5000
Co  0.0538  0.5811  0.2500
Co  0.4189  0.9462  0.2500
Co  0.4329  0.5671  0.2500
Co  0.5671  0.4329  0.7500
Co  0.5811  0.0538  0.7500
Co  0.9462  0.4189  0.7500

---

(two)
Below is a relaxed PmGa2Co3 crystal, with properties calculated at the GGA-PBE level.

The crystal system is hexagonal.

a = 5.3046 Å, b = 5.3046 Å, c = 3.7434 Å
α = 90.00°, β = 90.00°, γ = 120.00°
Element x y z (fractional)
Pm  0.0000  0.0000  0.0000
Ga  0.3333  0.6667  0.0000
Ga  0.6667  0.3333  0.0000
Co  0.0000  0.5000  0.5000
Co  0.5000  0.0000  0.5000
Co  0.5000  0.5000  0.5000

---

Short version: (two), (one), most stable first.